Compound: RbTbTe
Source: Alexandria via LeMat-Bulk
Functional: PBE
Structure: relaxed

Cell: 4.813 4.813 9.933 Å, 90.00 90.00 90.00°
Site moments in Bohr magnetons follow the coordinates.
Sites, in units of the cell vectors:
Te 0.500 0.000 0.719  0.01
Te 0.000 0.500 0.281  0.01
Tb 0.000 0.000 0.500  0.68
Tb 0.500 0.500 0.500  0.68
Rb 0.000 0.500 0.857  0.01
Rb 0.500 0.000 0.143  0.01

## Properties
The final energy is -22.0 eV per cell. The uncorrected formation energy is -0.75 eV/atom. For the magnetization, the calculation gives 1.1 μB/f.u.